[1]
A plane-wave DFT calculation with PBE was carried out for a relaxed structure of Sr3ZnAg.

Its total energy is -8.8 eV for the cell shown. As for the crystal system: cubic.

The space group is Pm-3m (No. 221) and the conventional cell measures 6.0968, 6.0968 and 6.0968 Å, with angles of 90.00, 90.00 and 90.00 degrees. Symmetry generates all atoms from Sr at (0.0000, 0.0000, 0.5000), Zn at (0.5000, 0.5000, 0.5000) and Ag at (0.0000, 0.0000, 0.0000).

[2]
A plane-wave DFT calculation with PBE was carried out for a relaxed structure of Sr3Zn2Ag2.

Its total energy is -30.3 eV for the cell shown. As for the crystal system: monoclinic.

The space group is C2/m (No. 12) and the conventional cell measures 11.9120, 4.4960 and 8.4607 Å, with angles of 90.00, 112.93 and 90.00 degrees. Symmetry generates all atoms from Sr at (0.0000, 0.0000, 0.0000), Sr at (0.1809, 0.0000, 0.6427), Zn at (0.1981, 0.5000, 0.9410) and Ag at (0.0212, 0.5000, 0.3348).

[3]
A plane-wave DFT calculation with PBE was carried out for a relaxed structure of Sr2ZnAg.

Its total energy is -23.7 eV for the cell shown. As for the crystal system: trigonal.

The space group is R-3m (No. 166, hexagonal axes) and the conventional cell measures 4.5808, 4.5808 and 23.3076 Å, with angles of 90.00, 90.00 and 120.00 degrees. Symmetry generates all atoms from Sr at (0.0000, 0.0000, 0.2476), Zn at (0.0000, 0.0000, 0.0000) and Ag at (0.0000, 0.0000, 0.5000).

[4]
A plane-wave DFT calculation with PBE was carried out for a relaxed structure of SrZn5Ag7.

Its total energy is -59.4 eV for the cell shown. As for the crystal system: orthorhombic.

The space group is Imm2 (No. 44) and the conventional cell measures 5.3133, 9.3890 and 9.4736 Å, with angles of 90.00, 90.00 and 90.00 degrees. Symmetry generates all atoms from Sr at (0.0000, 0.0000, 0.0000), Zn at (0.0000, 0.5000, 0.2711), Zn at (0.2495, 0.2522, 0.2449), Ag at (0.0000, 0.0000, 0.3509), Ag at (0.0000, 0.0000, 0.6535), Ag at (0.0000, 0.2858, 0.4936), Ag at (0.0000, 0.3495, 0.9976) and Ag at (0.0000, 0.5000, 0.7204).

[5]
A plane-wave DFT calculation with PBE was carried out for a relaxed structure of Sr3Zn2Ag7.

Its total energy is -90.7 eV for the cell shown. As for the crystal system: trigonal.

The space group is R-3m (No. 166, hexagonal axes) and the conventional cell measures 5.8874, 5.8874 and 27.4213 Å, with angles of 90.00, 90.00 and 120.00 degrees. Symmetry generates all atoms from Sr at (0.0000, 0.0000, 0.0000), Sr at (0.0000, 0.0000, 0.1420), Zn at (0.0000, 0.0000, 0.3323), Ag at (0.0000, 0.0000, 0.5000) and Ag at (0.0004, 0.5002, 0.0786).

[6]
A plane-wave DFT calculation with PBE was carried out for a relaxed structure of SrZn2Ag2.

Its total energy is -21.8 eV for the cell shown. As for the crystal system: tetragonal.

The space group is I4/mmm (No. 139) and the conventional cell measures 4.4063, 4.4063 and 11.6677 Å, with angles of 90.00, 90.00 and 90.00 degrees. Symmetry generates all atoms from Sr at (0.0000, 0.0000, 0.0000), Zn at (0.0000, 0.5000, 0.2500) and Ag at (0.0000, 0.0000, 0.3804).

[7]
A plane-wave DFT calculation with PBE was carried out for a relaxed structure of SrZnAg2.

Its total energy is -9.0 eV for the cell shown. As for the crystal system: monoclinic.

The space group is Pm (No. 6) and the conventional cell measures 3.6272, 4.4611 and 6.2183 Å, with angles of 90.00, 106.60 and 90.00 degrees. Symmetry generates all atoms from Sr at (0.0000, 0.0000, 0.0000), Zn at (0.6310, 0.5000, 0.2673), Ag at (0.3155, 0.5000, 0.6390) and Ag at (0.7366, 0.0000, 0.4844).

[8]
A plane-wave DFT calculation with PBE was carried out for a relaxed structure of SrZnAg.

Its total energy is -6.6 eV for the cell shown. As for the crystal system: hexagonal.

The space group is P-6m2 (No. 187) and the conventional cell measures 4.6573, 4.6573 and 4.2510 Å, with angles of 90.00, 90.00 and 120.00 degrees. Symmetry generates all atoms from Sr at (0.0000, 0.0000, 0.0000), Zn at (0.6667, 0.3333, 0.5000) and Ag at (0.3333, 0.6667, 0.5000).

[9]
A plane-wave DFT calculation with PBE was carried out for a relaxed structure of Sr5Zn2Ag.

Its total energy is -60.9 eV for the cell shown. As for the crystal system: tetragonal.

The space group is I4/mcm (No. 140) and the conventional cell measures 8.2237, 8.2237 and 17.1068 Å, with angles of 90.00, 90.00 and 90.00 degrees. Symmetry generates all atoms from Sr at (0.0000, 0.0000, 0.0000), Sr at (0.1735, 0.3265, 0.1473), Zn at (0.1112, 0.3888, 0.5000) and Ag at (0.0000, 0.0000, 0.2500).

[10]
A plane-wave DFT calculation with PBE was carried out for a relaxed structure of Sr2Zn5Ag4.

Its total energy is -93.2 eV for the cell shown. As for the crystal system: orthorhombic.

The space group is Fmmm (No. 69) and the conventional cell measures 5.6293, 9.6181 and 17.4862 Å, with angles of 90.00, 90.00 and 90.00 degrees. Symmetry generates all atoms from Sr at (0.0000, 0.0000, 0.1391), Zn at (0.0000, 0.0000, 0.5000), Zn at (0.2500, 0.2500, 0.0000), Zn at (0.2500, 0.2500, 0.2500) and Ag at (0.0000, 0.1612, 0.3720).

[11]
A plane-wave DFT calculation with PBE was carried out for a relaxed structure of Sr4ZnAg3.

Its total energy is -18.9 eV for the cell shown. As for the crystal system: orthorhombic.

The space group is Pmm2 (No. 25) and the conventional cell measures 4.4874, 4.7636 and 11.9908 Å, with angles of 90.00, 90.00 and 90.00 degrees. Symmetry generates all atoms from Sr at (0.0000, 0.0000, 0.0000), Sr at (0.0000, 0.5000, 0.2814), Sr at (0.5000, 0.0000, 0.4998), Sr at (0.5000, 0.5000, 0.7823), Zn at (0.0000, 0.0000, 0.7043), Ag at (0.0000, 0.5000, 0.5788), Ag at (0.5000, 0.0000, 0.2119) and Ag at (0.5000, 0.5000, 0.0700).

[12]
A plane-wave DFT calculation with PBE was carried out for a relaxed structure of SrZnAg.

Its total energy is -12.6 eV for the cell shown. As for the crystal system: tetragonal.

The space group is I4mm (No. 107) and the conventional cell measures 3.6939, 3.6939 and 10.8513 Å, with angles of 90.00, 90.00 and 90.00 degrees. Symmetry generates all atoms from Sr at (0.0000, 0.0000, 0.0000), Zn at (0.0000, 0.0000, 0.3040) and Ag at (0.0000, 0.0000, 0.7016).